(1)
## Rb2PdWSe6 (GGA-PBE)

Data for a geometry-optimized Rb2PdWSe6 structure.

```
Rb2PdWSe6
1.0
0.000 5.125 5.125
5.125 0.000 5.125
5.125 5.125 0.000
Rb Pd W Se
2 1 1 6
Direct
0.250 0.250 0.250
0.750 0.750 0.750
0.000 0.000 0.000
0.500 0.500 0.500
0.255 0.255 0.745
0.255 0.745 0.255
0.255 0.745 0.745
0.745 0.255 0.255
0.745 0.255 0.745
0.745 0.745 0.255
```

* SG: Fm-3m


(2)
## RbZrPdSe3 (GGA-PBE)

Data for a geometry-optimized RbZrPdSe3 structure.

```
RbZrPdSe3
1.0
8.728 0.000 0.000
0.000 3.926 0.000
-4.008 0.000 9.406
Rb Zr Pd Se
2 2 2 6
Direct
0.248 0.250 0.273
0.752 0.750 0.727
0.303 0.750 0.838
0.697 0.250 0.162
0.091 0.250 0.601
0.909 0.750 0.399
0.103 0.250 0.861
0.247 0.750 0.561
0.461 0.750 0.134
0.539 0.250 0.866
0.753 0.250 0.439
0.897 0.750 0.139
```

* SG: P2_1/m


(3)
## RbZrPdSe3 (GGA-PBE)

Data for a geometry-optimized RbZrPdSe3 structure.

```
RbZrPdSe3
1.0
15.569 0.000 0.000
0.000 3.910 0.000
0.000 0.000 10.537
Rb Zr Pd Se
4 4 4 12
Direct
0.237 0.250 0.044
0.263 0.750 0.544
0.737 0.250 0.456
0.763 0.750 0.956
0.020 0.250 0.326
0.480 0.750 0.826
0.520 0.250 0.174
0.980 0.750 0.674
0.009 0.750 0.100
0.491 0.250 0.600
0.509 0.750 0.400
0.991 0.250 0.900
0.085 0.250 0.572
0.090 0.750 0.872
0.133 0.750 0.267
0.367 0.250 0.767
0.410 0.250 0.372
0.415 0.750 0.072
0.585 0.250 0.928
0.590 0.750 0.628
0.633 0.750 0.233
0.867 0.250 0.733
0.910 0.250 0.128
0.915 0.750 0.428
```

* SG: Pnma


(4)
## RbSi5Pd3 (GGA-PBE)

Data for a geometry-optimized RbSi5Pd3 structure.

```
RbSi5Pd3
1.0
5.548 0.000 0.000
-2.774 4.805 0.000
0.000 0.000 6.114
Rb Si Pd
1 5 3
Direct
0.000 0.000 0.000
0.000 0.000 0.500
0.333 0.667 0.193
0.333 0.667 0.807
0.667 0.333 0.193
0.667 0.333 0.807
0.000 0.500 0.500
0.500 0.000 0.500
0.500 0.500 0.500
```

* SG: P6/mmm


(5)
## RbSmPd (GGA-PBE)

Data for a geometry-optimized RbSmPd structure.

```
RbSmPd
1.0
0.000 3.662 3.662
3.662 0.000 3.662
3.662 3.662 0.000
Rb Sm Pd
1 1 1
Direct
0.000 0.000 0.000
0.500 0.500 0.500
0.250 0.250 0.250
```

* SG: F-43m
* energy above the most stable polymorph in this dataset: 0.00 kcal/mol of atoms


(6)
## RbSmTe3Pd (GGA-PBE)

Data for a geometry-optimized RbSmTe3Pd structure.

```
RbSmTe3Pd
1.0
2.252 -9.054 0.000
2.252 9.054 0.000
0.000 0.000 10.229
Rb Sm Te Pd
2 2 6 2
Direct
0.247 0.753 0.750
0.753 0.247 0.250
0.000 0.000 0.000
0.000 0.000 0.500
0.097 0.903 0.250
0.389 0.611 0.092
0.389 0.611 0.408
0.611 0.389 0.592
0.611 0.389 0.908
0.903 0.097 0.750
0.493 0.507 0.750
0.507 0.493 0.250
```

* SG: Cmcm


(7)
## RbSn5Pd3 (GGA-PBE)

Data for a geometry-optimized RbSn5Pd3 structure.

```
RbSn5Pd3
1.0
5.570 0.000 0.000
-2.785 4.824 0.000
0.000 0.000 8.577
Rb Sn Pd
1 5 3
Direct
0.000 0.000 0.000
0.000 0.000 0.500
0.333 0.667 0.226
0.333 0.667 0.774
0.667 0.333 0.226
0.667 0.333 0.774
0.000 0.500 0.500
0.500 0.000 0.500
0.500 0.500 0.500
```

* SG: P6/mmm


(8)
## RbSrSn4Pd2 (GGA-PBE)

Data for a geometry-optimized RbSrSn4Pd2 structure.

```
RbSrSn4Pd2
1.0
7.832 0.000 0.000
0.000 2.238 6.107
0.000 -2.238 6.107
Rb Sr Sn Pd
1 1 4 2
Direct
0.000 0.000 0.000
0.500 0.108 0.108
0.200 0.712 0.712
0.305 0.394 0.394
0.695 0.394 0.394
0.800 0.712 0.712
0.000 0.271 0.271
0.500 0.835 0.835
```

* SG: Amm2


(9)
## RbSrPd (GGA-PBE)

Data for a geometry-optimized RbSrPd structure.

```
RbSrPd
1.0
0.000 3.802 3.802
3.802 0.000 3.802
3.802 3.802 0.000
Rb Sr Pd
1 1 1
Direct
0.000 0.000 0.000
0.250 0.250 0.250
0.750 0.750 0.750
```

* SG: F-43m


(10)
## RbSrPd (GGA-PBE)

Data for a geometry-optimized RbSrPd structure.

```
RbSrPd
1.0
0.000 3.847 3.847
3.847 0.000 3.847
3.847 3.847 0.000
Rb Sr Pd
1 1 1
Direct
0.000 0.000 0.000
0.500 0.500 0.500
0.250 0.250 0.250
```

* SG: F-43m


(11)
## RbSr3Pd (GGA-PBE)

Data for a geometry-optimized RbSr3Pd structure.

```
RbSr3Pd
1.0
4.506 0.000 0.000
0.000 6.101 0.000
0.000 0.000 9.121
Rb Sr Pd
1 3 1
Direct
0.000 0.000 0.000
0.000 0.000 0.500
0.500 0.500 0.279
0.500 0.500 0.721
0.000 0.500 0.500
```

* SG: Pmmm


(12)
## RbTcPd (GGA-PBE)

Data for a geometry-optimized RbTcPd structure.

```
RbTcPd
1.0
0.000 3.462 3.462
3.462 0.000 3.462
3.462 3.462 0.000
Rb Tc Pd
1 1 1
Direct
0.000 0.000 0.000
0.500 0.500 0.500
0.250 0.250 0.250
```

* SG: F-43m
* energy above the most stable polymorph in this dataset: 0.00 kcal/mol of atoms


(13)
## RbTcPd (GGA-PBE)

Data for a geometry-optimized RbTcPd structure.

```
RbTcPd
1.0
0.000 3.443 3.443
3.443 0.000 3.443
3.443 3.443 0.000
Rb Tc Pd
1 1 1
Direct
0.000 0.000 0.000
0.250 0.250 0.250
0.750 0.750 0.750
```

* SG: F-43m
* energy above the most stable polymorph in this dataset: 13.92 kcal/mol of atoms


(14)
## Rb2Te3Pd (GGA-PBE)

Data for a geometry-optimized Rb2Te3Pd structure.

```
Rb2Te3Pd
1.0
7.155 -4.998 0.000
7.155 4.998 0.000
0.000 0.000 6.451
Rb Te Pd
4 6 2
Direct
0.021 0.693 0.750
0.307 0.979 0.750
0.693 0.021 0.250
0.979 0.307 0.250
0.150 0.850 0.250
0.359 0.359 0.000
0.359 0.359 0.500
0.641 0.641 0.000
0.641 0.641 0.500
0.850 0.150 0.750
0.429 0.571 0.250
0.571 0.429 0.750
```

* SG: Cmcm


(15)
## RbTe2Pd2 (GGA-PBE)

Data for a geometry-optimized RbTe2Pd2 structure.

```
RbTe2Pd2
1.0
-2.305 2.305 6.283
2.305 -2.305 6.283
2.305 2.305 -6.283
Rb Te Pd
1 2 2
Direct
0.000 0.000 0.000
0.362 0.362 0.000
0.638 0.638 0.000
0.250 0.750 0.500
0.750 0.250 0.500
```

* SG: I4/mmm


(16)
## RbTmTe3Pd (GGA-PBE)

Data for a geometry-optimized RbTmTe3Pd structure.

```
RbTmTe3Pd
1.0
2.205 -9.044 0.000
2.205 9.044 0.000
0.000 0.000 10.049
Rb Tm Te Pd
2 2 6 2
Direct
0.246 0.754 0.750
0.754 0.246 0.250
0.000 0.000 0.000
0.000 0.000 0.500
0.095 0.905 0.250
0.391 0.609 0.084
0.391 0.609 0.416
0.609 0.391 0.584
0.609 0.391 0.916
0.905 0.095 0.750
0.494 0.506 0.750
0.506 0.494 0.250
```

* SG: Cmcm


(17)
## RbZrTe3Pd (GGA-PBE)

Data for a geometry-optimized RbZrTe3Pd structure.

```
RbZrTe3Pd
1.0
16.972 0.000 0.000
0.000 4.090 0.000
0.000 0.000 11.061
Rb Zr Te Pd
4 4 12 4
Direct
0.240 0.250 0.042
0.260 0.750 0.542
0.740 0.250 0.458
0.760 0.750 0.958
0.020 0.250 0.315
0.480 0.750 0.815
0.520 0.250 0.185
0.980 0.750 0.685
0.084 0.250 0.571
0.090 0.750 0.882
0.136 0.750 0.262
0.364 0.250 0.762
0.410 0.250 0.382
0.416 0.750 0.071
0.584 0.250 0.929
0.590 0.750 0.618
0.636 0.750 0.238
0.864 0.250 0.738
0.910 0.250 0.118
0.916 0.750 0.429
0.013 0.750 0.102
0.487 0.250 0.602
0.513 0.750 0.398
0.987 0.250 0.898
```

* SG: Pnma


(18)
## RbThPd (GGA-PBE)

Data for a geometry-optimized RbThPd structure.

```
RbThPd
1.0
0.000 3.631 3.631
3.631 0.000 3.631
3.631 3.631 0.000
Rb Th Pd
1 1 1
Direct
0.000 0.000 0.000
0.500 0.500 0.500
0.250 0.250 0.250
```

* SG: F-43m


(19)
## Rb3Tl4Pd4 (GGA-PBE)

Data for a geometry-optimized Rb3Tl4Pd4 structure.

```
Rb3Tl4Pd4
1.0
-4.303 4.303 4.303
4.303 -4.303 4.303
4.303 4.303 -4.303
Rb Tl Pd
3 4 4
Direct
0.000 0.500 0.500
0.500 0.000 0.500
0.500 0.500 0.000
0.000 0.000 0.396
0.000 0.396 0.000
0.396 0.000 0.000
0.604 0.604 0.604
0.000 0.000 0.764
0.000 0.764 0.000
0.236 0.236 0.236
0.764 0.000 0.000
```

* SG: I-43m


(20)
## RbZnPd (GGA-PBE)

Data for a geometry-optimized RbZnPd structure.

```
RbZnPd
1.0
0.000 3.758 3.758
3.758 0.000 3.758
3.758 3.758 0.000
Rb Zn Pd
1 1 1
Direct
0.000 0.000 0.000
0.250 0.250 0.250
0.750 0.750 0.750
```

* SG: F-43m
* energy above the most stable polymorph in this dataset: 11.39 kcal/mol of atoms


(21)
## RbZnPd (GGA-PBE)

Data for a geometry-optimized RbZnPd structure.

```
RbZnPd
1.0
0.000 3.528 3.528
3.528 0.000 3.528
3.528 3.528 0.000
Rb Zn Pd
1 1 1
Direct
0.000 0.000 0.000
0.500 0.500 0.500
0.250 0.250 0.250
```

* SG: F-43m
* energy above the most stable polymorph in this dataset: 0.00 kcal/mol of atoms


(22)
## Re2Pd (GGA-PBE)

Data for a geometry-optimized Re2Pd structure.

```
Re2Pd
1.0
0.000 5.714 5.714
5.714 0.000 5.714
5.714 5.714 0.000
Re Pd
4 2
Direct
0.000 0.000 0.000
0.000 0.000 0.500
0.000 0.500 0.000
0.500 0.000 0.000
0.125 0.125 0.125
0.875 0.875 0.875
```

* SG: Fd-3m
* energy above the most stable polymorph in this dataset: 83.21 kcal/mol of atoms


(23)
## Re2Pd (GGA-PBE)

Data for a geometry-optimized Re2Pd structure.

```
Re2Pd
1.0
0.000 3.636 3.636
3.636 0.000 3.636
3.636 3.636 0.000
Re Pd
4 2
Direct
0.000 0.000 0.000
0.000 0.000 0.500
0.000 0.500 0.000
0.500 0.000 0.000
0.375 0.375 0.375
0.625 0.625 0.625
```

* SG: Fd-3m
* energy above the most stable polymorph in this dataset: 0.00 kcal/mol of atoms


(24)
## ReSbPd (GGA-PBE)

Data for a geometry-optimized ReSbPd structure.

```
ReSbPd
1.0
0.000 3.113 3.113
3.113 0.000 3.113
3.113 3.113 0.000
Re Sb Pd
1 1 1
Direct
0.000 0.000 0.000
0.250 0.250 0.250
0.750 0.750 0.750
```

* SG: F-43m
* energy above the most stable polymorph in this dataset: 0.00 kcal/mol of atoms


(25)
## Re2SbPd (GGA-PBE)

Data for a geometry-optimized Re2SbPd structure.

```
Re2SbPd
1.0
0.000 3.205 3.205
3.205 0.000 3.205
3.205 3.205 0.000
Re Sb Pd
2 1 1
Direct
0.000 0.000 0.000
0.250 0.250 0.250
0.500 0.500 0.500
0.750 0.750 0.750
```

* SG: F-43m


Ρ / g/cm³: 5.77, 5.36, 5.38, 5.55, 5.79, 5.77, 7.19, 6.68, 4.22, 4.08, 3.01, 5.80, 5.90, 4.75, 6.88, 6.16, 5.76, 7.35, 7.81, 4.03, 4.86, 4.26, 16.54, 11.41, 15.14
E_tot / eV per cell: -43.88, -63.44, -126.99, -43.38, -10.33, -52.37, -39.32, -33.08, -6.40, -7.89, -12.45, -12.03, -10.22, -39.94, -20.18, -51.60, -116.99, -12.08, -35.01, -5.03, -6.51, -35.62, -57.27, -20.48, -31.90